# 1
Material: NaAsSeO
Method: DFT, PBE
State: relaxed

Cell lengths 4.5647, 4.5647, 10.7554 Å; angles 77.75, 77.75, 60.00 degrees
Closest atoms and distances in Å follow each position.
Element x y z (fractional)
O  0.1977  0.1977  0.4070  1 As 1.69
O  0.8023  0.8023  0.5930  1 As 1.69
Se  0.6081  0.6081  0.1757  3 As 2.73
Se  0.3919  0.3919  0.8243  3 As 2.73
Na  0.5000  0.5000  0.5000  6 O 2.81
Na  0.0000  0.0000  0.0000  6 Se 3.21
As  0.7484  0.7484  0.7548  1 O 1.69
As  0.2516  0.2516  0.2452  1 O 1.69

Raw formation energy in eV/atom: -0.8426
Symmetry: R-3m


# 2
Material: RbBSb2I
Method: DFT, PBE
State: relaxed

Cell lengths 4.7975, 4.7975, 9.3961 Å; angles 90.00, 90.00, 90.00 degrees
Closest atoms and distances in Å follow each position.
Element x y z (fractional)
I  0.0000  0.0000  0.5000  4 Rb 3.39
Sb  0.0000  0.5000  0.0000  2 B 2.40
Sb  0.5000  0.0000  0.0000  2 B 2.40
Rb  0.5000  0.5000  0.5000  4 I 3.39
B  0.0000  0.0000  0.0000  4 Sb 2.40

Energy relative to the lowest polymorph listed for this composition in meV/atom: 0
Raw formation energy in eV/atom: 0.3055
Symmetry: P4/mmm